Record 1
VASP calculation (GGA-PBE) on La3TaCr after structural relaxation.

Structure (POSCAR):
```
La3TaCr
1.0
-2.275 -4.998 -1.313
-0.891 -1.033 5.479
-5.090 2.415 -0.373
Cr La Ta
1 3 1
Direct
0.500 0.500 0.500
0.000 0.500 0.000
0.000 0.000 0.500
0.500 0.000 0.000
0.000 0.000 0.000
```

Output
V ... 180.0 Å³/f.u.
D(E_F) ... 6.92 states/eV/f.u.
Formation energy from the elements ... 842 meV per atom

Record 2
VASP calculation (GGA-PBE) on La2TaCr after structural relaxation.

Structure (POSCAR):
```
La2TaCr
1.0
-2.904 3.412 2.664
-0.693 -2.245 2.120
4.455 0.998 3.579
Cr La Ta
1 2 1
Direct
0.500 0.750 0.750
0.000 0.959 0.991
0.000 0.541 0.509
0.500 0.250 0.250
```

Output
V ... 95.0 Å³/f.u.
D(E_F) ... 5.86 states/eV/f.u.
Formation energy from the elements ... 749 meV per atom

Record 3
VASP calculation (GGA-PBE) on LaTaCr after structural relaxation.

Structure (POSCAR):
```
LaTaCr
1.0
4.684 0.000 0.000
2.342 4.057 0.000
2.342 1.352 3.825
Cr La Ta
1 1 1
Direct
0.500 0.500 0.500
0.750 0.750 0.750
0.000 0.000 0.000
```

Output
V ... 72.7 Å³/f.u.
D(E_F) ... 3.40 states/eV/f.u.
Formation energy from the elements ... 1634 meV per atom

Record 4
VASP calculation (GGA-PBE) on LaTa2Cr after structural relaxation.

Structure (POSCAR):
```
LaTa2Cr
1.0
5.014 0.000 0.000
0.000 5.014 0.000
2.507 2.507 8.721
Cr La Ta
2 2 4
Direct
0.500 0.500 0.000
0.250 0.750 0.500
0.000 0.000 0.000
0.750 0.250 0.500
0.375 0.125 0.250
0.375 0.625 0.250
0.375 0.625 0.750
0.875 0.625 0.750
```

Output
V ... 109.6 Å³/f.u.
D(E_F) ... 7.20 states/eV/f.u.
Formation energy from the elements ... 1262 meV per atom

Record 5
VASP calculation (GGA-PBE) on LaTa2Cr after structural relaxation.

Structure (POSCAR):
```
LaTa2Cr
1.0
-3.390 0.749 4.531
-1.327 -4.175 -3.236
0.870 -2.319 1.685
Cr La Ta
1 1 2
Direct
0.500 0.500 0.000
0.500 0.000 0.500
0.000 0.000 0.000
0.000 0.500 0.500
```

Output
V ... 79.2 Å³/f.u.
D(E_F) ... 5.26 states/eV/f.u.
Formation energy from the elements ... 687 meV per atom

Record 6
VASP calculation (GGA-PBE) on La2TaCr after structural relaxation.

Structure (POSCAR):
```
La2TaCr
1.0
-1.614 3.510 -3.408
-0.911 -1.377 -4.880
-4.835 -0.163 -1.771
Cr La Ta
1 2 1
Direct
0.500 0.500 0.500
0.000 0.000 0.000
0.250 0.250 0.250
0.750 0.750 0.750
```

Output
V ... 96.7 Å³/f.u.
D(E_F) ... 5.22 states/eV/f.u.
Formation energy from the elements ... 655 meV per atom

Record 7
VASP calculation (GGA-PBE) on LaTa2Cr after structural relaxation.

Structure (POSCAR):
```
LaTa2Cr
1.0
5.719 -0.097 0.000
2.881 4.942 0.000
-4.300 -2.422 2.892
Cr La Ta
1 1 2
Direct
0.250 0.750 0.500
0.750 0.250 0.500
0.000 0.000 0.000
0.500 0.500 0.000
```

Output
V ... 82.5 Å³/f.u.
D(E_F) ... 4.03 states/eV/f.u.
Formation energy from the elements ... 695 meV per atom

Record 8
VASP calculation (GGA-PBE) on La2TaCr after structural relaxation.

Structure (POSCAR):
```
La2TaCr
1.0
5.144 0.000 0.000
0.000 5.139 0.000
0.000 0.000 3.856
Cr La Ta
1 2 1
Direct
0.000 0.500 0.500
0.000 0.000 0.000
0.500 0.500 0.000
0.500 0.000 0.500
```

Output
V ... 101.9 Å³/f.u.
D(E_F) ... 4.95 states/eV/f.u.
Formation energy from the elements ... 653 meV per atom

Record 9
VASP calculation (GGA-PBE) on LaTaCr after structural relaxation.

Structure (POSCAR):
```
LaTaCr
1.0
3.230 0.000 0.000
-1.615 2.798 0.000
0.000 0.000 6.928
Cr La Ta
1 1 1
Direct
0.000 0.000 0.965
0.667 0.333 0.312
0.333 0.667 0.724
```

Output
V ... 62.6 Å³/f.u.
D(E_F) ... 4.51 states/eV/f.u.
Formation energy from the elements ... 676 meV per atom

Record 10
VASP calculation (GGA-PBE) on La4TaCr after structural relaxation.

Structure (POSCAR):
```
La4TaCr
1.0
0.000 4.484 4.484
4.484 0.000 4.484
4.484 4.484 0.000
La Ta Cr
4 1 1
Direct
0.874 0.375 0.375
0.375 0.375 0.874
0.375 0.874 0.375
0.375 0.375 0.375
0.750 0.750 0.750
0.000 0.000 0.000
```

Output
V ... 180.3 Å³/f.u.
D(E_F) ... 8.20 states/eV/f.u.
Formation energy from the elements ... 1010 meV per atom

Record 11
VASP calculation (GGA-PBE) on LaTa2Cr after structural relaxation.

Structure (POSCAR):
```
LaTa2Cr
1.0
4.780 0.000 0.000
2.390 4.140 0.000
2.390 1.380 3.903
Cr La Ta
1 1 2
Direct
0.500 0.500 0.500
0.250 0.250 0.250
0.000 0.000 0.000
0.750 0.750 0.750
```

Output
V ... 77.3 Å³/f.u.
D(E_F) ... 5.10 states/eV/f.u.
Formation energy from the elements ... 617 meV per atom

Record 12
VASP calculation (GGA-PBE) on LaTa2Cr after structural relaxation.

Structure (POSCAR):
```
LaTa2Cr
1.0
-2.120 -5.215 -0.377
0.420 -5.245 -2.036
2.385 -2.587 3.699
Cr La Ta
1 1 2
Direct
0.750 0.750 0.750
0.250 0.250 0.250
0.029 0.029 0.959
0.471 0.471 0.541
```

Output
V ... 81.4 Å³/f.u.
D(E_F) ... 4.96 states/eV/f.u.
Formation energy from the elements ... 568 meV per atom